(A)
First-principles (GGA-PBE) data for a geometry-optimized La3InS6 structure, as listed in Alexandria.

Cell and atoms, written as CIF:
```
data_La3InS6
_cell_length_a 11.227
_cell_length_b 14.100
_cell_length_c 6.863
_cell_angle_alpha 90.00
_cell_angle_beta 90.00
_cell_angle_gamma 90.00
_symmetry_space_group_name_H-M 'C m c 21'
_symmetry_Int_Tables_number 36
_symmetry_space_group_name_Hall 'C 2c -2'
loop_
_atom_site_label
_atom_site_type_symbol
_atom_site_fract_x
_atom_site_fract_y
_atom_site_fract_z
_atom_site_occupancy
La1 La 0.000 0.101 0.000 1
La2 La 0.187 0.399 0.929 1
In1 In 0.000 0.304 0.390 1
S1 S 0.000 0.282 0.746 1
S2 S 0.000 0.466 0.235 1
S3 S 0.161 0.022 0.715 1
S4 S 0.169 0.233 0.203 1
```

(B)
First-principles (GGA-PBE) data for a geometry-optimized La3InS6 structure, as listed in Alexandria.

Cell and atoms, written as CIF:
```
data_La3InS6
_cell_length_a 14.017
_cell_length_b 17.018
_cell_length_c 4.095
_cell_angle_alpha 90.00
_cell_angle_beta 90.00
_cell_angle_gamma 90.00
_symmetry_space_group_name_H-M 'P 21 21 2'
_symmetry_Int_Tables_number 18
_symmetry_space_group_name_Hall 'P 2 2ab'
loop_
_atom_site_label
_atom_site_type_symbol
_atom_site_fract_x
_atom_site_fract_y
_atom_site_fract_z
_atom_site_occupancy
La1 La 0.035 0.221 0.247 1
La2 La 0.192 0.642 0.246 1
La3 La 0.248 0.389 0.242 1
In1 In 0.000 0.000 0.921 1
In2 In 0.000 0.500 0.746 1
S1 S 0.020 0.398 0.246 1
S2 S 0.104 0.911 0.263 1
S3 S 0.105 0.109 0.749 1
S4 S 0.115 0.742 0.747 1
S5 S 0.176 0.282 0.744 1
S6 S 0.188 0.517 0.746 1
```

The data favor (A); the next most stable structure lies 0.011 eV/atom above it.

(A)
First-principles (GGA-PBE) data for a geometry-optimized La4In2S structure, as listed in Alexandria.

Cell and atoms, written as CIF:
```
data_La4In2S
_cell_length_a 5.489
_cell_length_b 5.489
_cell_length_c 16.173
_cell_angle_alpha 90.00
_cell_angle_beta 90.00
_cell_angle_gamma 90.00
_symmetry_space_group_name_H-M 'I 4/m m m'
_symmetry_Int_Tables_number 139
_symmetry_space_group_name_Hall '-I 4 2'
loop_
_atom_site_label
_atom_site_type_symbol
_atom_site_fract_x
_atom_site_fract_y
_atom_site_fract_z
_atom_site_occupancy
La1 La 0.000 0.000 0.175 1
La2 La 0.000 0.500 0.000 1
In1 In 0.000 0.000 0.376 1
S1 S 0.000 0.000 0.000 1
```

(B)
First-principles (GGA-PBE) data for a geometry-optimized La4In2S structure, as listed in Alexandria.

Cell and atoms, written as CIF:
```
data_La4In2S
_cell_length_a 13.118
_cell_length_b 4.270
_cell_length_c 9.453
_cell_angle_alpha 90.00
_cell_angle_beta 122.52
_cell_angle_gamma 90.00
_symmetry_space_group_name_H-M 'C 1 2/m 1'
_symmetry_Int_Tables_number 12
_symmetry_space_group_name_Hall '-C 2y'
loop_
_atom_site_label
_atom_site_type_symbol
_atom_site_fract_x
_atom_site_fract_y
_atom_site_fract_z
_atom_site_occupancy
La1 La 0.087 0.000 0.350 1
La2 La 0.165 0.500 0.069 1
In1 In 0.125 0.500 0.661 1
S1 S 0.000 0.000 0.000 1
```

The data favor (B); the next most stable structure lies 0.129 eV/atom above it.